1.
Here is Cs2Er2TiS6 after structural relaxation from Alexandria via LeMat-Bulk. Energies are from GGA-PBE.

Structure (POSCAR):
```
Cs2Er2TiS6
1.0
-0.5187 2.4472 6.1842
-2.6762 -5.9412 -1.4288
8.1701 -2.4448 0.3784
S Cs Er Ti
6 2 2 1
Cartesian
0.4921 -2.2517 5.0233 S
-0.1704 -4.8274 2.6857 S
3.0791 -4.2744 3.8371 S
4.4831 -3.6871 0.1105 S
1.8960 -1.6645 1.2967 S
5.1456 -1.1115 2.4481 S
-2.3090 -4.5136 -0.1332 Cs
-0.8859 1.0196 4.8885 Cs
2.8481 -1.5679 3.8389 Er
2.1271 -4.3709 1.2949 Er
4.0851 -1.2224 0.1892 Ti
```

Energy relative to the elements, uncorrected, eV/atom: -1.6831
Calculated volume, Å³/cell: 317.5
DFT total energy, eV per atom: -5.64
Space-group type: C2/m


2.
Here is Cs3Er2TmS6 after structural relaxation from Alexandria via LeMat-Bulk. Energies are from GGA-PBE.

Structure (POSCAR):
```
Cs3Er2TmS6
1.0
7.0421 -0.0008 0.0003
-3.5200 6.0992 0.0003
-1.1743 -2.0334 8.0536
Tm S Cs Er
1 6 3 2
Cartesian
0.0000 0.0000 0.0000 Tm
3.5170 2.0393 6.6055 S
-0.0044 -0.0075 6.6040 S
2.3520 4.0725 1.4501 S
0.0087 4.0654 6.6055 S
-1.1693 2.0257 1.4486 S
2.3390 -0.0004 1.4486 S
1.1738 2.0325 4.0270 Cs
4.6916 0.0009 4.0270 Cs
-2.3439 4.0641 4.0270 Cs
3.5210 2.0327 0.0003 Er
0.0010 4.0657 0.0003 Er
```

Energy relative to the elements, uncorrected, eV/atom: -1.8292
Calculated volume, Å³/cell: 345.9
DFT total energy, eV per atom: -5.24
Space-group type: C2/m


3.
Here is Cs2ErUS4 after structural relaxation from Alexandria via LeMat-Bulk. Energies are from GGA-PBE.

Structure (POSCAR):
```
Cs2ErUS4
1.0
-3.6979 -1.7065 0.3959
2.9980 -6.4106 0.3708
-0.4673 2.8486 7.9131
Cs S Er U
2 4 1 1
Cartesian
1.2654 -1.7810 4.1419 Cs
-2.0826 0.5710 4.1545 Cs
0.4435 0.5665 6.5838 S
2.0873 -4.1285 1.7001 S
0.0781 -3.4604 6.9596 S
-1.2453 -1.8081 1.7202 S
-0.3499 -4.0586 0.3834 Er
0.0000 0.0000 0.0000 U
```

Energy relative to the elements, uncorrected, eV/atom: -1.5629
Calculated volume, Å³/cell: 234.5
DFT total energy, eV per atom: -5.82
Space-group type: P2/m


4.
Here is Cs3ErU3S8 after structural relaxation from Alexandria via LeMat-Bulk. Energies are from GGA-PBE.

Structure (POSCAR):
```
Cs3ErU3S8
1.0
-4.0263 0.7210 -6.9845
6.5498 -4.7367 0.4254
-7.7769 -3.4631 4.1256
S Cs U Er
8 3 3 1
Cartesian
-0.0027 -3.4920 -0.3588 S
-2.0275 -3.1609 -3.8474 S
-3.2944 -1.1450 -0.5544 S
0.0625 -6.6958 1.6276 S
-1.9590 -6.3338 -1.8791 S
-3.2259 -4.3179 1.4140 S
-5.2507 -3.9868 -2.0747 S
-5.3159 -0.7830 -4.0611 S
0.0000 0.0000 0.0000 Cs
3.2749 -2.3684 0.2127 Cs
1.2617 -2.0079 -3.2796 Cs
-0.6135 -4.0999 2.2755 U
-5.9016 -1.3711 -1.4295 U
-2.6267 -3.7394 -1.2167 U
-3.8884 -1.7316 2.0628 Er
```

Energy relative to the elements, uncorrected, eV/atom: -1.5137
Calculated volume, Å³/cell: 466.6
DFT total energy, eV per atom: -6.45
Space-group type: R-3m


5.
Here is CsErUS4 after structural relaxation from Alexandria via LeMat-Bulk. Energies are from GGA-PBE.

Structure (POSCAR):
```
CsErUS4
1.0
-6.2943 -4.0466 -4.2813
7.0145 -4.2122 2.3486
-5.7032 2.6184 5.9099
S U Cs Er
8 2 2 2
Cartesian
0.7960 -3.2254 5.3406 S
-5.7790 -2.4150 -1.3635 S
-3.2682 -0.8008 0.3443 S
-2.9878 -4.1486 -0.3662 S
-1.9952 -1.4918 4.3433 S
-1.7148 -4.8396 3.6328 S
-5.2233 -3.1222 1.9504 S
0.2404 -2.5182 2.0267 S
-2.4915 -2.8202 1.9886 U
0.6557 -0.7969 4.1292 U
-4.0250 0.7397 5.2183 Cs
-0.9580 -6.3801 -1.2412 Cs
-3.1471 -2.0233 -2.1406 Er
-5.9987 -0.7141 0.8143 Er
```

Energy relative to the elements, uncorrected, eV/atom: -1.5277
Calculated volume, Å³/cell: 441.6
DFT total energy, eV per atom: -6.27
Space-group type: Imma


6.
Here is Cs3Er3US8 after structural relaxation from Alexandria via LeMat-Bulk. Energies are from GGA-PBE.

Structure (POSCAR):
```
Cs3Er3US8
1.0
8.0624 -0.0034 -0.0016
-4.0342 6.9807 -0.0251
0.0004 -4.6212 8.2151
Er S Cs U
3 8 3 1
Cartesian
4.0314 -2.3123 4.1067 Er
2.0143 1.1780 4.0942 Er
-2.0169 1.1797 4.0950 Er
-0.0015 2.3361 2.6319 S
6.0648 -1.1663 2.6570 S
-0.0014 0.0009 5.5443 S
2.0307 3.5207 5.5308 S
1.9979 -1.1647 2.6576 S
4.0301 0.0199 5.5565 S
-2.0362 3.5223 5.5315 S
4.0300 2.3551 2.6441 S
0.0000 0.0000 0.0000 Cs
-2.0171 3.4903 -0.0125 Cs
2.0141 3.4886 -0.0133 Cs
0.0002 -2.3106 4.1075 U
```

Energy relative to the elements, uncorrected, eV/atom: -1.7645
Calculated volume, Å³/cell: 461.3
DFT total energy, eV per atom: -5.80
Space-group type: C2/m